# 1
SmPu2Ga2Au2 (PBE, optimized geometry); ΔE_f = -315.8 kJ/mol of formula units; DFT total energy = -7.038 eV per atom
1.0
4.614 0.000 0.000
2.307 3.996 0.000
2.307 1.332 8.568
Sm Pu Ga Au
1 2 2 2
Direct
0.000 0.000 0.000
0.135 0.135 0.596
0.865 0.865 0.404
0.741 0.741 0.777
0.259 0.259 0.223
0.596 0.596 0.212
0.404 0.404 0.788

# 2
PuGa2SnAu5 (PBE, optimized geometry); ΔE_f = -171.4 kJ/mol of formula units; DFT total energy = -4.728 eV per atom
1.0
4.982 0.000 0.000
0.000 4.982 0.000
0.000 0.000 7.679
Pu Ga Sn Au
1 2 1 5
Direct
0.000 0.000 0.500
0.500 0.500 0.158
0.500 0.500 0.842
0.000 0.000 0.000
0.000 0.500 0.260
0.500 0.000 0.260
0.000 0.500 0.740
0.500 0.000 0.740
0.500 0.500 0.500

# 3
Pu2GaSnAu6 (PBE, optimized geometry); ΔE_f = -249.3 kJ/mol of formula units; DFT total energy = -5.794 eV per atom
1.0
6.665 -1.081 -1.446
-0.799 6.723 1.671
1.855 3.837 5.534
Pu Ga Sn Au
2 1 1 6
Direct
0.759 0.252 0.493
0.241 0.748 0.507
0.000 0.000 0.000
0.500 0.500 0.000
0.313 0.321 0.510
0.939 0.762 0.822
0.311 0.820 0.012
0.689 0.180 0.988
0.061 0.238 0.178
0.687 0.679 0.490

# 4
SrPuGaAu (PBE, optimized geometry); ΔE_f = -125.2 kJ/mol of formula units; DFT total energy = -5.904 eV per atom
1.0
5.294 0.000 0.000
2.647 4.585 0.000
2.647 1.528 4.323
Sr Au Ga Pu
1 1 1 1
Direct
0.500 0.500 0.500
0.750 0.750 0.750
0.250 0.250 0.250
0.000 0.000 0.000

# 5
Sr2PuGa3Au12 (PBE, optimized geometry); ΔE_f = -404.3 kJ/mol of formula units; DFT total energy = -3.905 eV per atom
1.0
10.612 2.142 1.519
7.104 8.170 1.519
7.104 4.135 7.208
Sr Pu Ga Au
2 1 3 12
Direct
0.637 0.637 0.637
0.363 0.363 0.363
0.000 0.000 0.000
0.500 0.000 0.000
0.000 0.500 0.000
0.000 0.000 0.500
0.408 0.408 0.814
0.870 0.870 0.441
0.441 0.870 0.870
0.814 0.408 0.408
0.870 0.441 0.870
0.408 0.814 0.408
0.592 0.592 0.186
0.130 0.130 0.559
0.559 0.130 0.130
0.186 0.592 0.592
0.130 0.559 0.130
0.592 0.186 0.592

# 6
Sr2PuGa4Au3 (PBE, optimized geometry); ΔE_f = -437.3 kJ/mol of formula units; DFT total energy = -4.417 eV per atom
1.0
-4.038 1.169 -1.520
-1.852 -1.461 3.797
1.330 10.870 4.829
Sr Pu Ga Au
2 1 4 3
Direct
0.500 0.000 0.228
0.000 0.500 0.772
0.500 0.500 0.500
0.500 0.500 0.000
0.000 0.000 0.000
0.500 0.000 0.663
0.000 0.500 0.337
0.000 0.000 0.500
0.500 0.000 0.878
0.000 0.500 0.122

# 7
PuThGaAu (PBE, optimized geometry); ΔE_f = -145.6 kJ/mol of formula units; DFT total energy = -7.391 eV per atom
1.0
-1.543 1.743 4.647
-4.309 -1.908 2.191
0.350 -3.075 4.176
Au Ga Th Pu
1 1 1 1
Direct
0.500 0.500 0.500
0.000 0.000 0.000
0.750 0.750 0.750
0.250 0.250 0.250

# 8
TmPu2Ga3Au4 (PBE, optimized geometry); ΔE_f = -436.6 kJ/mol of formula units; DFT total energy = -5.985 eV per atom
1.0
4.353 0.000 0.000
0.000 4.353 0.000
0.000 0.000 11.614
Tm Pu Ga Au
1 2 3 4
Direct
0.500 0.500 0.500
0.500 0.000 0.226
0.000 0.500 0.774
0.000 0.000 0.500
0.500 0.000 0.873
0.000 0.500 0.127
0.500 0.500 0.000
0.000 0.000 0.000
0.500 0.000 0.656
0.000 0.500 0.344

# 9
TmPuGa2Au4 (PBE, optimized geometry); ΔE_f = -391.3 kJ/mol of formula units; DFT total energy = -5.253 eV per atom
1.0
4.736 0.000 0.000
2.368 4.102 0.000
2.368 1.367 8.455
Tm Pu Ga Au
1 1 2 4
Direct
0.500 0.500 0.500
0.000 0.000 0.000
0.750 0.750 0.750
0.250 0.250 0.250
0.385 0.385 0.844
0.876 0.876 0.373
0.124 0.124 0.627
0.615 0.615 0.156

# 10
YPuGaAu (PBE, optimized geometry); ΔE_f = -183.9 kJ/mol of formula units; DFT total energy = -7.252 eV per atom
1.0
5.130 0.000 0.000
2.565 4.443 0.000
2.565 1.481 4.189
Y Au Ga Pu
1 1 1 1
Direct
0.250 0.250 0.250
0.500 0.500 0.500
0.000 0.000 0.000
0.750 0.750 0.750

# 11
YPuGa2Au4 (PBE, optimized geometry); ΔE_f = -388.8 kJ/mol of formula units; DFT total energy = -5.499 eV per atom
1.0
-3.968 -2.374 -0.930
-0.913 -1.435 -4.400
2.477 -8.752 -0.188
Y Pu Ga Au
1 1 2 4
Direct
0.500 0.500 0.500
0.000 0.000 0.000
0.749 0.749 0.753
0.251 0.251 0.247
0.385 0.385 0.844
0.881 0.881 0.358
0.119 0.119 0.642
0.615 0.615 0.156

# 12
PuZnGaAu2 (PBE, optimized geometry); ΔE_f = -123.3 kJ/mol of formula units; DFT total energy = -5.293 eV per atom
1.0
-4.116 -3.931 0.669
2.149 -2.970 -4.224
2.791 -1.831 6.410
Pu Zn Ga Au
2 2 2 4
Direct
0.217 0.750 0.500
0.783 0.250 0.500
0.500 0.750 0.000
0.500 0.250 0.000
0.000 0.000 0.000
0.000 0.500 0.000
0.707 0.854 0.708
0.707 0.646 0.292
0.293 0.354 0.708
0.293 0.146 0.292

# 13
Pu2Zn4GaAu3 (PBE, optimized geometry); ΔE_f = -283.2 kJ/mol of formula units; DFT total energy = -4.955 eV per atom
1.0
-2.387 -2.165 2.583
3.296 -2.163 1.233
2.008 7.890 8.469
Pu Zn Ga Au
2 4 1 3
Direct
0.500 0.000 0.253
0.000 0.500 0.747
0.500 0.500 0.000
0.000 0.000 0.000
0.500 0.000 0.637
0.000 0.500 0.363
0.500 0.500 0.500
0.000 0.000 0.500
0.500 0.000 0.856
0.000 0.500 0.144

# 14
Pu2Zn3GaAu4 (PBE, optimized geometry); ΔE_f = -310.7 kJ/mol of formula units; DFT total energy = -5.184 eV per atom
1.0
4.283 0.000 0.000
0.000 4.283 0.000
0.000 0.000 11.180
Pu Zn Ga Au
2 3 1 4
Direct
0.500 0.000 0.250
0.000 0.500 0.750
0.000 0.000 0.500
0.500 0.000 0.865
0.000 0.500 0.135
0.500 0.500 0.500
0.500 0.500 0.000
0.000 0.000 0.000
0.500 0.000 0.639
0.000 0.500 0.361

# 15
PuZn2Ga2Au2 (PBE, optimized geometry); ΔE_f = -164.0 kJ/mol of formula units; DFT total energy = -4.455 eV per atom
1.0
-2.869 0.523 -3.430
0.565 -2.367 -3.788
-5.341 -6.411 0.535
Pu Zn Ga Au
1 2 2 2
Direct
0.000 0.000 0.000
0.597 0.597 0.209
0.403 0.403 0.791
0.132 0.132 0.603
0.868 0.868 0.397
0.754 0.754 0.737
0.246 0.246 0.263

# 16
PuZnGaAu3 (PBE, optimized geometry); ΔE_f = -105.9 kJ/mol of formula units; DFT total energy = -4.927 eV per atom
1.0
5.937 0.000 0.000
0.000 6.882 0.000
0.000 -3.441 6.208
Pu Zn Ga Au
2 2 2 6
Direct
0.750 0.294 0.588
0.250 0.706 0.412
0.250 0.945 0.890
0.750 0.055 0.110
0.250 0.366 0.732
0.750 0.634 0.268
0.250 0.163 0.325
0.000 0.290 0.000
0.500 0.710 0.000
0.500 0.290 0.000
0.000 0.710 0.000
0.750 0.837 0.675

# 17
Pu2ZnGa3Au4 (PBE, optimized geometry); ΔE_f = -372.6 kJ/mol of formula units; DFT total energy = -5.599 eV per atom
1.0
4.292 0.000 0.000
0.000 4.292 0.000
0.000 0.000 11.187
Pu Zn Ga Au
2 1 3 4
Direct
0.500 0.000 0.247
0.000 0.500 0.753
0.500 0.500 0.500
0.000 0.000 0.500
0.500 0.000 0.865
0.000 0.500 0.135
0.500 0.500 0.000
0.000 0.000 0.000
0.500 0.000 0.639
0.000 0.500 0.361

# 18
PuZnGa2Au (PBE, optimized geometry); ΔE_f = -163.6 kJ/mol of formula units; DFT total energy = -5.326 eV per atom
1.0
4.219 0.000 0.000
0.000 4.259 0.000
-2.109 -2.130 5.551
Pu Zn Ga Au
1 1 2 1
Direct
0.453 0.453 0.907
0.186 0.686 0.372
0.692 0.192 0.383
0.054 0.054 0.108
0.827 0.827 0.654

# 19
Pu2ZnGa4Au3 (PBE, optimized geometry); ΔE_f = -366.4 kJ/mol of formula units; DFT total energy = -5.568 eV per atom
1.0
-0.345 -3.036 -2.975
3.545 -1.853 1.481
-6.124 -6.140 6.976
Pu Zn Ga Au
2 1 4 3
Direct
0.500 0.000 0.255
0.000 0.500 0.745
0.500 0.500 0.500
0.500 0.500 0.000
0.000 0.000 0.000
0.500 0.000 0.635
0.000 0.500 0.365
0.000 0.000 0.500
0.500 0.000 0.862
0.000 0.500 0.138

# 20
PuZnGaAu (PBE, optimized geometry); energy relative to the lowest polymorph listed for this composition = 0.000 eV/atom; ΔE_f = -102.5 kJ/mol of formula units; DFT total energy = -5.743 eV per atom
1.0
-1.682 4.457 0.888
-1.977 2.602 -3.579
-4.772 0.840 -0.034
Zn Au Ga Pu
1 1 1 1
Direct
0.000 0.000 0.000
0.750 0.750 0.750
0.250 0.250 0.250
0.500 0.500 0.500